Record 1
Compound: HoPd8Au5
Source: Alexandria
Functional: PBE
Structure: relaxed

Output
Its space group is I-4. Its crystal system is tetragonal. The calculation puts the mass density at 13.139 g cm⁻³. The density of states at the Fermi level is 6.15 states/eV/f.u.

a = 6.9239 Å, b = 6.9239 Å, c = 6.9239 Å
α = 112.95°, β = 112.95°, γ = 102.72°
Positions (direct):
Ho  0.0000  0.0000  0.0000
Pd  0.0815  0.6502  0.7534
Pd  0.2971  0.5346  0.0925
Pd  0.3498  0.1032  0.4313
Pd  0.4421  0.2047  0.9075
Pd  0.4654  0.5579  0.7625
Pd  0.6719  0.9185  0.5687
Pd  0.7953  0.7029  0.2375
Pd  0.8968  0.3281  0.2466
Au  0.0367  0.1790  0.5763
Au  0.2500  0.7500  0.5000
Au  0.5395  0.9633  0.1423
Au  0.6028  0.4605  0.4237
Au  0.8210  0.3972  0.8577



Record 2
Compound: HoPd6Au5
Source: Alexandria
Functional: PBE
Structure: relaxed

Output
The calculation puts the energy above the most stable polymorph in this dataset at 0 meV per atom. Its space group is C2/m. Its crystal system is monoclinic. The calculation puts the mass density at 14.440 g cm⁻³. The density of states at the Fermi level is 3.86 states/eV/f.u.

a = 6.5863 Å, b = 6.5863 Å, c = 7.8084 Å
α = 90.07°, β = 90.07°, γ = 142.62°
Positions (direct):
Ho  0.0000  0.0000  0.0000
Pd  0.1677  0.8321  0.2524
Pd  0.1679  0.8323  0.7476
Pd  0.4994  0.4994  0.7499
Pd  0.5006  0.5006  0.2501
Pd  0.8321  0.1677  0.2524
Pd  0.8323  0.1679  0.7476
Au  0.0000  0.0000  0.5000
Au  0.3312  0.6688  0.0000
Au  0.3358  0.6642  0.5000
Au  0.6642  0.3358  0.5000
Au  0.6688  0.3312  0.0000



Record 3
Compound: Ho3Pd5Au
Source: Alexandria
Functional: PBE
Structure: relaxed

Output
The calculation puts the energy above the most stable polymorph in this dataset at 0 meV per atom. Its space group is P6_3/mcm. Its crystal system is hexagonal. The calculation puts the mass density at 11.697 g cm⁻³. The density of states at the Fermi level is 4.08 states/eV/f.u.

a = 8.3851 Å, b = 8.3851 Å, c = 5.7063 Å
α = 90.00°, β = 90.00°, γ = 120.00°
Positions (direct):
Ho  0.0000  0.3494  0.2500
Ho  0.0000  0.6506  0.7500
Ho  0.3494  0.0000  0.2500
Ho  0.3494  0.3494  0.7500
Ho  0.6506  0.0000  0.7500
Ho  0.6506  0.6506  0.2500
Pd  0.0000  0.3196  0.7500
Pd  0.0000  0.6804  0.2500
Pd  0.3196  0.0000  0.7500
Pd  0.3196  0.3196  0.2500
Pd  0.3333  0.6667  0.0000
Pd  0.3333  0.6667  0.5000
Pd  0.6667  0.3333  0.0000
Pd  0.6667  0.3333  0.5000
Pd  0.6804  0.0000  0.2500
Pd  0.6804  0.6804  0.7500
Au  0.0000  0.0000  0.0000
Au  0.0000  0.0000  0.5000



Record 4
Compound: HoPd6Au23
Source: Alexandria
Functional: PBE
Structure: relaxed

Output
Its space group is I4/mmm. Its crystal system is tetragonal. The calculation puts the mass density at 16.105 g cm⁻³. The density of states at the Fermi level is 8.54 states/eV/f.u.

a = 10.0915 Å, b = 10.0915 Å, c = 10.0915 Å
α = 132.39°, β = 132.39°, γ = 69.62°
Positions (direct):
Ho  0.0000  0.0000  0.0000
Pd  0.2480  0.2480  0.4959
Pd  0.2480  0.7520  0.0000
Pd  0.2487  0.2487  0.0000
Pd  0.7513  0.7513  0.0000
Pd  0.7520  0.2480  0.0000
Pd  0.7520  0.7520  0.5041
Au  0.0000  0.0000  0.5000
Au  0.0000  0.5000  0.0000
Au  0.0000  0.5000  0.5000
Au  0.1244  0.3737  0.7507
Au  0.1271  0.8714  0.2558
Au  0.1286  0.3844  0.2558
Au  0.1286  0.8729  0.7442
Au  0.3737  0.1244  0.7507
Au  0.3737  0.6230  0.2493
Au  0.3770  0.6263  0.7507
Au  0.3844  0.1286  0.2558
Au  0.5000  0.0000  0.0000
Au  0.5000  0.0000  0.5000
Au  0.5000  0.5000  0.0000
Au  0.5000  0.5000  0.5000
Au  0.6156  0.8714  0.7442
Au  0.6230  0.3737  0.2493
Au  0.6263  0.3770  0.7507
Au  0.6263  0.8756  0.2493
Au  0.8714  0.1271  0.2558
Au  0.8714  0.6156  0.7442
Au  0.8729  0.1286  0.7442
Au  0.8756  0.6263  0.2493



Record 5
Compound: Ho2Pd8Au
Source: Alexandria
Functional: PBE
Structure: relaxed

Output
Its space group is C2/m. Its crystal system is monoclinic. The calculation puts the mass density at 11.953 g cm⁻³. The density of states at the Fermi level is 3.53 states/eV/f.u.

a = 7.5763 Å, b = 7.5763 Å, c = 6.5292 Å
α = 106.92°, β = 106.92°, γ = 32.42°
Positions (direct):
Ho  0.2158  0.2158  0.1658
Ho  0.7842  0.7842  0.8342
Pd  0.0359  0.0359  0.2249
Pd  0.1433  0.1433  0.6837
Pd  0.3289  0.3289  0.5998
Pd  0.4079  0.4079  0.0558
Pd  0.5921  0.5921  0.9442
Pd  0.6711  0.6711  0.4002
Pd  0.8567  0.8567  0.3163
Pd  0.9641  0.9641  0.7751
Au  0.5000  0.5000  0.5000



Record 6
Compound: Ho4Pd2Au
Source: Alexandria
Functional: PBE
Structure: relaxed

Output
Its space group is R-3m. Its crystal system is trigonal. The calculation puts the mass density at 10.386 g cm⁻³. The density of states at the Fermi level is 4.15 states/eV/f.u.

a = 8.6184 Å, b = 8.6184 Å, c = 8.6184 Å
α = 33.21°, β = 33.21°, γ = 33.21°
Positions (direct):
Ho  0.1228  0.1228  0.1228
Ho  0.3734  0.3734  0.3734
Ho  0.6266  0.6266  0.6266
Ho  0.8772  0.8772  0.8772
Pd  0.2537  0.2537  0.2537
Pd  0.7463  0.7463  0.7463
Au  0.5000  0.5000  0.5000



Record 7
Compound: HoPd3Au7
Source: Alexandria
Functional: PBE
Structure: relaxed

Output
Its space group is C2/m. Its crystal system is monoclinic. The calculation puts the mass density at 14.291 g cm⁻³. The density of states at the Fermi level is 3.88 states/eV/f.u.

a = 6.9664 Å, b = 6.9664 Å, c = 5.1482 Å
α = 110.64°, β = 110.64°, γ = 90.18°
Positions (direct):
Ho  0.0000  0.0000  0.0000
Pd  0.2669  0.7331  0.5000
Pd  0.5000  0.5000  0.0000
Pd  0.7331  0.2669  0.5000
Au  0.0000  0.0000  0.5000
Au  0.0905  0.5651  0.8273
Au  0.3293  0.3293  0.3418
Au  0.4349  0.9095  0.1727
Au  0.5651  0.0905  0.8273
Au  0.6707  0.6707  0.6582
Au  0.9095  0.4349  0.1727



Record 8
Compound: HoPd12Au6
Source: Alexandria
Functional: PBE
Structure: relaxed

Output
Its space group is R-3m. Its crystal system is trigonal. The calculation puts the mass density at 13.240 g cm⁻³. The density of states at the Fermi level is 22.20 states/eV/f.u.

a = 7.0882 Å, b = 7.0882 Å, c = 7.0882 Å
α = 101.94°, β = 101.94°, γ = 101.94°
Positions (direct):
Ho  0.0000  0.0000  0.0000
Pd  0.0000  0.2602  0.7398
Pd  0.0000  0.7398  0.2602
Pd  0.1852  0.5896  0.5896
Pd  0.2602  0.0000  0.7398
Pd  0.2602  0.7398  0.0000
Pd  0.4104  0.4104  0.8148
Pd  0.4104  0.8148  0.4104
Pd  0.5896  0.1852  0.5896
Pd  0.5896  0.5896  0.1852
Pd  0.7398  0.0000  0.2602
Pd  0.7398  0.2602  0.0000
Pd  0.8148  0.4104  0.4104
Au  0.1707  0.1707  0.4301
Au  0.1707  0.4301  0.1707
Au  0.4301  0.1707  0.1707
Au  0.5699  0.8293  0.8293
Au  0.8293  0.5699  0.8293
Au  0.8293  0.8293  0.5699



Record 9
Compound: Ho3Pd2Au4
Source: Alexandria
Functional: PBE
Structure: relaxed

Output
Its space group is C2/c. Its crystal system is monoclinic. The calculation puts the mass density at 13.532 g cm⁻³. The density of states at the Fermi level is 3.56 states/eV/f.u.

a = 8.6422 Å, b = 8.6422 Å, c = 5.2253 Å
α = 98.76°, β = 98.76°, γ = 73.31°
Positions (direct):
Ho  0.1168  0.8832  0.7500
Ho  0.2050  0.4638  0.9158
Ho  0.4638  0.2050  0.4158
Ho  0.5362  0.7950  0.5842
Ho  0.7950  0.5362  0.0842
Ho  0.8832  0.1168  0.2500
Pd  0.0144  0.7646  0.1905
Pd  0.2354  0.9856  0.3095
Pd  0.7646  0.0144  0.6905
Pd  0.9856  0.2354  0.8095
Au  0.1040  0.3396  0.3569
Au  0.3115  0.5764  0.4718
Au  0.3396  0.1040  0.8569
Au  0.4236  0.6885  0.0282
Au  0.5764  0.3115  0.9718
Au  0.6604  0.8960  0.1431
Au  0.6885  0.4236  0.5282
Au  0.8960  0.6604  0.6431



Record 10
Compound: HoPd6Au8
Source: Alexandria
Functional: PBE
Structure: relaxed

Output
Its space group is P-3. Its crystal system is trigonal. The calculation puts the mass density at 13.740 g cm⁻³. The density of states at the Fermi level is 7.46 states/eV/f.u.

a = 7.7393 Å, b = 7.7393 Å, c = 5.5433 Å
α = 90.00°, β = 90.00°, γ = 120.00°
Positions (direct):
Ho  0.0000  0.0000  0.0000
Pd  0.0406  0.6733  0.8631
Pd  0.3267  0.3673  0.8631
Pd  0.3673  0.0406  0.1369
Pd  0.6327  0.9594  0.8631
Pd  0.6733  0.6327  0.1369
Pd  0.9594  0.3267  0.1369
Au  0.0241  0.6966  0.3685
Au  0.3034  0.3275  0.3685
Au  0.3275  0.0241  0.6315
Au  0.3333  0.6667  0.1470
Au  0.6667  0.3333  0.8530
Au  0.6725  0.9759  0.3685
Au  0.6966  0.6725  0.6315
Au  0.9759  0.3034  0.6315



Record 11
Compound: HoPd5Au8
Source: Alexandria
Functional: PBE
Structure: relaxed

Output
Its space group is I-4. Its crystal system is tetragonal. The calculation puts the mass density at 14.386 g cm⁻³. The density of states at the Fermi level is 5.30 states/eV/f.u.

a = 6.9898 Å, b = 6.9898 Å, c = 6.9898 Å
α = 111.00°, β = 111.00°, γ = 106.45°
Positions (direct):
Ho  0.0000  0.0000  0.0000
Pd  0.2048  0.0384  0.5834
Pd  0.3786  0.7952  0.8336
Pd  0.4549  0.6214  0.4166
Pd  0.7500  0.2500  0.5000
Pd  0.9616  0.5451  0.1664
Au  0.1167  0.3452  0.4466
Au  0.1657  0.3972  0.9003
Au  0.3299  0.8833  0.2285
Au  0.4968  0.2653  0.0997
Au  0.6028  0.5032  0.7685
Au  0.6548  0.1014  0.7715
Au  0.7347  0.8343  0.2315
Au  0.8986  0.6701  0.5534



Record 12
Compound: HoPd6Au3
Source: Alexandria
Functional: PBE
Structure: relaxed

Output
The calculation puts the energy above the most stable polymorph in this dataset at 105 meV per atom. Its space group is C2/m. Its crystal system is monoclinic. The calculation puts the mass density at 12.872 g cm⁻³. The density of states at the Fermi level is 6.13 states/eV/f.u.

a = 5.4297 Å, b = 5.4297 Å, c = 7.8645 Å
α = 111.92°, β = 111.92°, γ = 59.21°
Positions (direct):
Ho  0.0000  0.0000  0.0000
Pd  0.0717  0.5796  0.1878
Pd  0.1305  0.1305  0.4466
Pd  0.4204  0.9283  0.8122
Pd  0.5796  0.0717  0.1878
Pd  0.8695  0.8695  0.5534
Pd  0.9283  0.4204  0.8122
Au  0.4140  0.4140  0.7922
Au  0.5000  0.5000  0.5000
Au  0.5860  0.5860  0.2078



Number 1: ΔH_f (0 K) -153 meV/atom, final energy -4.617 eV/atom. Number 2: ΔH_f (0 K) -371 meV/atom, final energy -4.714 eV/atom. Number 3: ΔH_f (0 K) -860 meV/atom, final energy -5.635 eV/atom. Number 4: ΔH_f (0 K) -144 meV/atom, final energy -3.848 eV/atom. Number 5: ΔH_f (0 K) -547 meV/atom, final energy -5.454 eV/atom. Number 6: ΔH_f (0 K) -720 meV/atom, final energy -5.288 eV/atom. Number 7: ΔH_f (0 K) -99 meV/atom, final energy -4.017 eV/atom. Number 8: ΔH_f (0 K) -120 meV/atom, final energy -4.676 eV/atom. Number 9: ΔH_f (0 K) -809 meV/atom, final energy -4.945 eV/atom. Number 10: ΔH_f (0 K) -164 meV/atom, final energy -4.294 eV/atom. Number 11: ΔH_f (0 K) -141 meV/atom, final energy -4.196 eV/atom. Number 12: ΔH_f (0 K) -240 meV/atom, final energy -4.796 eV/atom.